Density functional theory data (PBE with a Hubbard U) for a geometry-optimized CoTePb2O6 structure.

As for the total energy: -0.20655 hartree per atom. The crystal system is monoclinic.

abc: 5.730 5.767 9.921
angles: 54.61 90.00 90.00
Site moments in Bohr magnetons follow the coordinates.
Atoms (fractional coordinates):
Pb: 0.514 0.255 0.749  0.00
Pb: 0.986 0.255 0.249  0.00
Pb: 0.014 0.745 0.751  0.00
Pb: 0.486 0.745 0.251  0.00
O: 0.263 0.683 0.531  0.03
O: 0.782 0.730 0.531  0.03
O: 0.218 0.270 0.469  0.03
O: 0.282 0.270 0.969  0.03
O: 0.507 0.203 0.239  0.03
O: 0.718 0.730 0.031  0.03
O: 0.763 0.317 0.969  0.03
O: 0.237 0.683 0.031  0.03
O: 0.007 0.797 0.261  0.03
O: 0.737 0.317 0.469  0.03
O: 0.993 0.203 0.739  0.03
O: 0.493 0.797 0.761  0.03
Te: 0.500 0.500 0.000  0.04
Te: 0.000 0.500 0.500  0.04
Co: 0.500 0.000 0.500  2.73
Co: 0.000 0.000 0.000  2.73